# 1
This record from the Alexandria database describes Ge3SbPd at its PBEsol-relaxed geometry. The functional is SCAN.

## Properties
Density of states at the Fermi level ... 0.3500 states/eV per atom
Formation energy without anion corrections ... 289 meV/atom
E ... -125.852 eV for the cell shown

a = 4.813 Å, b = 4.813 Å, c = 4.813 Å
α = 90.00°, β = 90.00°, γ = 90.00°
Fractional positions:
Ge 0.000 0.000 0.500
Ge 0.000 0.500 0.000
Ge 0.500 0.000 0.000
Sb 0.500 0.500 0.500
Pd 0.000 0.000 0.000



# 2
This record from the Alexandria database describes YSiIr2 at its PBEsol-relaxed geometry. The functional is SCAN.

## Properties
Density of states at the Fermi level ... 0.4111 states/eV per atom
Formation energy without anion corrections ... -1169 meV/atom
E ... -1108.386 eV for the cell shown

a = 5.482 Å, b = 5.482 Å, c = 15.180 Å
α = 90.00°, β = 90.00°, γ = 120.00°
Fractional positions:
Y 0.333 0.667 0.039
Y 0.333 0.667 0.250
Y 0.333 0.667 0.461
Y 0.667 0.333 0.539
Y 0.667 0.333 0.750
Y 0.667 0.333 0.961
Si 0.000 0.000 0.000
Si 0.000 0.000 0.250
Si 0.000 0.000 0.500
Si 0.000 0.000 0.750
Si 0.333 0.667 0.750
Si 0.667 0.333 0.250
Ir 0.167 0.335 0.630
Ir 0.167 0.335 0.870
Ir 0.167 0.833 0.630
Ir 0.167 0.833 0.870
Ir 0.335 0.167 0.130
Ir 0.335 0.167 0.370
Ir 0.665 0.833 0.630
Ir 0.665 0.833 0.870
Ir 0.833 0.167 0.130
Ir 0.833 0.167 0.370
Ir 0.833 0.665 0.130
Ir 0.833 0.665 0.370



# 3
This record from the Alexandria database describes AlNiCl2 at its PBEsol-relaxed geometry. The functional is SCAN.

## Properties
Excess energy over the best structure of this formula in the dataset ... 271 meV per atom
Density of states at the Fermi level ... 0.7577 states/eV per atom
Formation energy without anion corrections ... -410 meV/atom
E ... -124.567 eV for the cell shown

a = 3.273 Å, b = 3.273 Å, c = 23.911 Å
α = 90.00°, β = 90.00°, γ = 120.00°
Fractional positions:
Al 0.000 0.000 0.000
Al 0.333 0.667 0.667
Al 0.667 0.333 0.333
Ni 0.000 0.000 0.500
Ni 0.333 0.667 0.167
Ni 0.667 0.333 0.833
Cl 0.000 0.000 0.108
Cl 0.000 0.000 0.892
Cl 0.333 0.667 0.558
Cl 0.333 0.667 0.775
Cl 0.667 0.333 0.225
Cl 0.667 0.333 0.442



# 4
This record from the Alexandria database describes YSc2ReAu at its PBEsol-relaxed geometry. The functional is SCAN.

## Properties
Density of states at the Fermi level ... 0.8679 states/eV per atom
Formation energy ... 0.159 eV per atom
E ... -195.775 eV for the cell shown

a = 4.845 Å, b = 4.845 Å, c = 5.200 Å
α = 90.00°, β = 90.00°, γ = 90.00°
Fractional positions:
Y 0.000 0.000 0.000
Sc 0.000 0.500 0.500
Sc 0.500 0.000 0.500
Re 0.500 0.500 0.500
Au 0.500 0.500 0.000



# 5
This record from the Alexandria database describes LiGaRhCl2 at its PBEsol-relaxed geometry. The functional is SCAN.

## Properties
Density of states at the Fermi level ... 0.2798 states/eV per atom
Formation energy without anion corrections ... -127 meV/atom
E ... -69.099 eV for the cell shown

a = 5.079 Å, b = 5.079 Å, c = 4.656 Å
α = 90.00°, β = 90.00°, γ = 90.00°
Fractional positions:
Li 0.000 0.000 0.000
Ga 0.500 0.500 0.500
Rh 0.500 0.500 0.000
Cl 0.000 0.500 0.500
Cl 0.500 0.000 0.500



# 6
This record from the Alexandria database describes SrMgZr2 at its PBEsol-relaxed geometry. The functional is SCAN.

## Properties
Density of states at the Fermi level ... 0.7065 states/eV per atom
Formation energy ... 0.468 eV per atom
E ... -173.547 eV for the cell shown

a = 4.817 Å, b = 4.817 Å, c = 8.796 Å
α = 90.00°, β = 90.00°, γ = 90.00°
Fractional positions:
Sr 0.000 0.000 0.000
Sr 0.500 0.500 0.500
Mg 0.000 0.500 0.750
Mg 0.500 0.000 0.250
Zr 0.000 0.000 0.500
Zr 0.000 0.500 0.250
Zr 0.500 0.000 0.750
Zr 0.500 0.500 0.000



# 7
This record from the Alexandria database describes KMgAl at its PBEsol-relaxed geometry. The functional is SCAN.

## Properties
Excess energy over the best structure of this formula in the dataset ... 0 meV per atom
Density of states at the Fermi level ... 0.4227 states/eV per atom
Formation energy ... 0.203 eV per atom
E ... -40.893 eV for the cell shown

a = 3.065 Å, b = 4.595 Å, c = 12.518 Å
α = 90.00°, β = 90.00°, γ = 90.00°
Fractional positions:
K 0.000 0.000 0.000
K 0.500 0.500 0.500
Mg 0.000 0.000 0.720
Mg 0.500 0.500 0.220
Al 0.000 0.000 0.295
Al 0.500 0.500 0.795



# 8
This record from the Alexandria database describes BeCdCu2 at its PBEsol-relaxed geometry. The functional is SCAN.

## Properties
Excess energy over the best structure of this formula in the dataset ... 178 meV per atom
Density of states at the Fermi level ... 0.2715 states/eV per atom
Formation energy ... 0.132 eV per atom
E ... -64.640 eV for the cell shown

a = 3.680 Å, b = 3.680 Å, c = 3.746 Å
α = 90.00°, β = 90.00°, γ = 90.00°
Fractional positions:
Be 0.000 0.000 0.000
Cd 0.500 0.500 0.000
Cu 0.000 0.500 0.500
Cu 0.500 0.000 0.500



# 9
This record from the Alexandria database describes TlCrBr3 at its PBEsol-relaxed geometry. The functional is SCAN.

## Properties
Density of states at the Fermi level ... 0.1714 states/eV per atom
Formation energy without anion corrections ... -935 meV/atom
E ... -153.798 eV for the cell shown

a = 5.129 Å, b = 5.129 Å, c = 5.129 Å
α = 90.00°, β = 90.00°, γ = 90.00°
Fractional positions:
Tl 0.000 0.000 0.000
Cr 0.500 0.500 0.500
Br 0.000 0.500 0.500
Br 0.500 0.000 0.500
Br 0.500 0.500 0.000



# 10
This record from the Alexandria database describes TcSnWCl2 at its PBEsol-relaxed geometry. The functional is SCAN.

## Properties
Density of states at the Fermi level ... 0.8148 states/eV per atom
Formation energy without anion corrections ... 1743 meV/atom
E ... -147.912 eV for the cell shown

a = 5.052 Å, b = 5.052 Å, c = 5.553 Å
α = 90.00°, β = 90.00°, γ = 90.00°
Fractional positions:
Tc 0.000 0.000 0.000
Sn 0.500 0.500 0.500
W 0.500 0.500 0.000
Cl 0.000 0.500 0.500
Cl 0.500 0.000 0.500



# 11
This record from the Alexandria database describes Al3P2H14O15F3 at its PBEsol-relaxed geometry. The functional is SCAN.

## Properties
Density of states at the Fermi level ... 0.0000 states/eV per atom
E ... -539.636 eV for the cell shown

a = 6.966 Å, b = 9.171 Å, c = 10.122 Å
α = 96.00°, β = 97.97°, γ = 99.85°
Fractional positions:
Al 0.125 0.188 0.352
Al 0.208 0.724 0.122
Al 0.321 0.052 0.793
Al 0.679 0.948 0.207
Al 0.792 0.276 0.878
Al 0.875 0.812 0.648
P 0.035 0.833 0.372
P 0.303 0.072 0.100
P 0.697 0.928 0.900
P 0.965 0.167 0.628
H 0.123 0.411 0.025
H 0.137 0.249 0.951
H 0.160 0.441 0.257
H 0.177 0.466 0.419
H 0.186 0.659 0.548
H 0.289 0.375 0.771
H 0.299 0.598 0.893
H 0.303 0.550 0.638
H 0.303 0.991 0.534
H 0.337 0.779 0.909
H 0.381 0.237 0.567
H 0.481 0.918 0.607
H 0.486 0.680 0.537
H 0.496 0.527 0.194
H 0.504 0.473 0.806
H 0.514 0.320 0.463
H 0.519 0.082 0.393
H 0.619 0.763 0.433
H 0.663 0.221 0.091
H 0.697 0.009 0.466
H 0.697 0.450 0.362
H 0.701 0.402 0.107
H 0.711 0.625 0.229
H 0.814 0.341 0.452
H 0.823 0.534 0.581
H 0.840 0.559 0.743
H 0.863 0.751 0.049
H 0.877 0.589 0.975
O 0.016 0.770 0.506
O 0.066 0.337 0.943
O 0.117 0.393 0.335
O 0.147 0.998 0.403
O 0.153 0.738 0.296
O 0.176 0.176 0.704
O 0.187 0.915 0.098
O 0.250 0.184 0.205
O 0.262 0.125 0.960
O 0.269 0.689 0.945
O 0.287 0.592 0.549
O 0.363 0.479 0.779
O 0.384 0.248 0.471
O 0.397 0.993 0.620
O 0.471 0.925 0.866
O 0.529 0.075 0.134
O 0.603 0.007 0.380
O 0.616 0.752 0.529
O 0.637 0.521 0.221
O 0.713 0.408 0.451
O 0.731 0.311 0.055
O 0.738 0.875 0.040
O 0.750 0.816 0.795
O 0.813 0.085 0.902
O 0.824 0.824 0.296
O 0.847 0.262 0.704
O 0.853 0.002 0.597
O 0.883 0.607 0.665
O 0.934 0.663 0.057
O 0.984 0.230 0.494
F 0.111 0.894 0.757
F 0.246 0.532 0.141
F 0.474 0.787 0.188
F 0.526 0.213 0.812
F 0.754 0.468 0.859
F 0.889 0.106 0.243



# 12
This record from the Alexandria database describes CoAuCl at its PBEsol-relaxed geometry. The functional is SCAN.

## Properties
Density of states at the Fermi level ... 1.0882 states/eV per atom
Formation energy without anion corrections ... -77 meV/atom
E ... -94.669 eV for the cell shown

a = 3.031 Å, b = 3.031 Å, c = 6.253 Å
α = 90.00°, β = 90.00°, γ = 120.00°
Fractional positions:
Co 0.000 0.000 0.000
Au 0.333 0.667 0.688
Cl 0.667 0.333 0.228



# 13
This record from the Alexandria database describes Sc2Se3O10 at its PBEsol-relaxed geometry. The functional is SCAN.

## Properties
Density of states at the Fermi level ... 0.0000 states/eV per atom
Formation energy without anion corrections ... -1889 meV/atom
E ... -717.398 eV for the cell shown

a = 6.534 Å, b = 10.899 Å, c = 12.743 Å
α = 90.00°, β = 103.66°, γ = 90.00°
Fractional positions:
Sc 0.199 0.161 0.409
Sc 0.199 0.339 0.909
Sc 0.269 0.709 0.537
Sc 0.269 0.791 0.037
Sc 0.731 0.209 0.963
Sc 0.731 0.291 0.463
Sc 0.801 0.661 0.091
Sc 0.801 0.839 0.591
Se 0.139 0.648 0.780
Se 0.139 0.852 0.280
Se 0.287 0.103 0.045
Se 0.287 0.397 0.545
Se 0.319 0.530 0.150
Se 0.319 0.970 0.650
Se 0.681 0.030 0.350
Se 0.681 0.470 0.850
Se 0.713 0.603 0.455
Se 0.713 0.897 0.955
Se 0.861 0.148 0.720
Se 0.861 0.352 0.220
O 0.068 0.196 0.001
O 0.068 0.304 0.501
O 0.081 0.509 0.818
O 0.081 0.991 0.318
O 0.083 0.223 0.770
O 0.083 0.277 0.270
O 0.124 0.633 0.087
O 0.124 0.867 0.587
O 0.231 0.530 0.476
O 0.231 0.970 0.976
O 0.280 0.726 0.883
O 0.280 0.774 0.383
O 0.290 0.631 0.692
O 0.290 0.869 0.192
O 0.312 0.075 0.552
O 0.312 0.425 0.052
O 0.413 0.182 0.960
O 0.413 0.318 0.460
O 0.488 0.132 0.366
O 0.488 0.368 0.866
O 0.512 0.632 0.134
O 0.512 0.868 0.634
O 0.587 0.682 0.540
O 0.587 0.818 0.040
O 0.688 0.575 0.948
O 0.688 0.925 0.448
O 0.710 0.131 0.808
O 0.710 0.369 0.308
O 0.720 0.226 0.617
O 0.720 0.274 0.117
O 0.769 0.030 0.024
O 0.769 0.470 0.524
O 0.876 0.133 0.413
O 0.876 0.367 0.913
O 0.917 0.723 0.730
O 0.917 0.777 0.230
O 0.919 0.009 0.682
O 0.919 0.491 0.182
O 0.932 0.696 0.499
O 0.932 0.804 0.999



# 14
This record from the Alexandria database describes Mn2MoRh at its PBEsol-relaxed geometry. The functional is SCAN.

## Properties
Density of states at the Fermi level ... 0.8175 states/eV per atom
Formation energy ... -0.159 eV per atom
E ... -211.605 eV for the cell shown

a = 3.671 Å, b = 3.671 Å, c = 7.550 Å
α = 90.00°, β = 90.00°, γ = 90.00°
Fractional positions:
Mn 0.000 0.000 0.000
Mn 0.000 0.500 0.250
Mn 0.500 0.000 0.750
Mn 0.500 0.500 0.500
Mo 0.000 0.000 0.500
Mo 0.500 0.500 0.000
Rh 0.000 0.500 0.750
Rh 0.500 0.000 0.250



# 15
This record from the Alexandria database describes ScRhO3 at its PBEsol-relaxed geometry. The functional is SCAN.

## Properties
Density of states at the Fermi level ... 0.0000 states/eV per atom
Formation energy without anion corrections ... -2436 meV/atom
E ... -631.043 eV for the cell shown

a = 7.430 Å, b = 7.403 Å, c = 10.204 Å
α = 90.00°, β = 132.87°, γ = 90.00°
Fractional positions:
Sc 0.067 0.238 0.292
Sc 0.067 0.262 0.792
Sc 0.429 0.740 0.725
Sc 0.429 0.760 0.225
Sc 0.571 0.240 0.775
Sc 0.571 0.260 0.275
Sc 0.933 0.738 0.208
Sc 0.933 0.762 0.708
Rh 0.000 0.000 0.000
Rh 0.000 0.000 0.500
Rh 0.000 0.500 0.000
Rh 0.000 0.500 0.500
Rh 0.500 0.000 0.000
Rh 0.500 0.000 0.500
Rh 0.500 0.500 0.000
Rh 0.500 0.500 0.500
O 0.072 0.748 0.963
O 0.072 0.752 0.463
O 0.149 0.543 0.755
O 0.149 0.957 0.255
O 0.214 0.598 0.254
O 0.214 0.902 0.754
O 0.292 0.100 0.546
O 0.292 0.400 0.046
O 0.347 0.036 0.107
O 0.347 0.464 0.607
O 0.427 0.250 0.391
O 0.427 0.250 0.891
O 0.573 0.750 0.109
O 0.573 0.750 0.609
O 0.653 0.536 0.393
O 0.653 0.964 0.893
O 0.708 0.600 0.954
O 0.708 0.900 0.454
O 0.786 0.098 0.246
O 0.786 0.402 0.746
O 0.851 0.043 0.745
O 0.851 0.457 0.245
O 0.928 0.248 0.537
O 0.928 0.252 0.037



# 16
This record from the Alexandria database describes La2SbCl at its PBEsol-relaxed geometry. The functional is SCAN.

## Properties
Density of states at the Fermi level ... 0.5993 states/eV per atom
Formation energy without anion corrections ... -1575 meV/atom
E ... -137.750 eV for the cell shown

a = 4.379 Å, b = 4.379 Å, c = 6.173 Å
α = 90.00°, β = 90.00°, γ = 90.00°
Fractional positions:
La 0.000 0.000 0.000
La 0.500 0.500 0.500
Sb 0.000 0.000 0.500
Cl 0.500 0.500 0.000



# 17
This record from the Alexandria database describes KCoCu2As at its PBEsol-relaxed geometry. The functional is SCAN.

## Properties
Density of states at the Fermi level ... 0.4964 states/eV per atom
Formation energy ... 2.075 eV per atom
E ... -65.847 eV for the cell shown

a = 4.579 Å, b = 4.579 Å, c = 5.304 Å
α = 90.00°, β = 90.00°, γ = 90.00°
Fractional positions:
K 0.000 0.000 0.000
Co 0.500 0.500 0.500
Cu 0.000 0.500 0.000
Cu 0.500 0.000 0.000
As 0.000 0.000 0.500



# 18
This record from the Alexandria database describes Mn2PbAuO at its PBEsol-relaxed geometry. The functional is SCAN.

## Properties
Density of states at the Fermi level ... 0.4622 states/eV per atom
Formation energy without anion corrections ... -464 meV/atom
E ... -190.000 eV for the cell shown

a = 3.945 Å, b = 3.945 Å, c = 5.437 Å
α = 90.00°, β = 90.00°, γ = 90.00°
Fractional positions:
Mn 0.000 0.500 0.000
Mn 0.500 0.000 0.000
Pb 0.000 0.000 0.500
Au 0.500 0.500 0.500
O 0.500 0.500 0.000



# 19
This record from the Alexandria database describes CaCuCl2 at its PBEsol-relaxed geometry. The functional is SCAN.

## Properties
Excess energy over the best structure of this formula in the dataset ... 0 meV per atom
Density of states at the Fermi level ... 0.3764 states/eV per atom
Formation energy without anion corrections ... -1123 meV/atom
E ... -90.622 eV for the cell shown

a = 9.021 Å, b = 3.990 Å, c = 5.143 Å
α = 90.00°, β = 97.83°, γ = 90.00°
Fractional positions:
Ca 0.000 0.000 0.000
Ca 0.500 0.500 0.000
Cu 0.000 0.500 0.500
Cu 0.500 0.000 0.500
Cl 0.176 0.500 0.233
Cl 0.324 0.000 0.767
Cl 0.676 0.000 0.233
Cl 0.824 0.500 0.767